Entry 1:
Here is ZnCuIr2 after structural relaxation from the Alexandria database. Energies are from GGA-PBE.

Cell lengths 2.7506, 2.7506, 7.3182 Å; angles 90.00, 90.00, 90.00 degrees
Last column: nearest neighbours and their distance in Å.
Space group P4/mmm (No. 123)
Unique sites:
Zn: 0.0000 0.0000 0.0000 x1  8 Ir 2.70, 4 Zn 2.75
Cu: 0.0000 0.0000 0.5000 x1  8 Ir 2.64, 4 Cu 2.75
Ir: 0.5000 0.5000 0.2563 x2  4 Cu 2.64, 4 Zn 2.70, 4 Ir 2.75

Values from the calculation:
Total magnetization   0.0 μB per formula unit
E_form   0.12 eV per atom

---

Entry 2:
Here is Sc3Mn5Te12 after structural relaxation from the Alexandria database. Energies are from GGA-PBE.

Cell lengths 16.6725, 16.6725, 16.6725 Å; angles 90.00, 90.00, 90.00 degrees
Last column: nearest neighbours and their distance in Å.
Space group Ia-3d (No. 230)
Unique sites:
Sc: 0.0000 0.2500 0.1250 x24  8 Te 3.14-3.18
Mn: 0.0000 0.0000 0.0000 x16  6 Te 2.76
Mn: 0.0000 0.2500 0.3750 x24  4 Te 2.60
Te: 0.0240 0.0652 0.6506 x96  2 Mn 2.60-2.76

Values from the calculation:
Total magnetization   20.0 μB per formula unit
ΔE_f (raw)   -0.4056 eV per atom

---

Entry 3:
Here is InSe after structural relaxation from the Alexandria database. Energies are from GGA-PBE.

Cell lengths 12.1537, 12.1537, 4.1719 Å; angles 90.00, 90.00, 90.00 degrees
Last column: nearest neighbours and their distance in Å.
Space group P4/m (No. 83)
Unique sites:
In: 0.0732 0.2777 0.0000 x4  4 Se 2.62-2.66
In: 0.2771 0.6421 0.5000 x4  3 Se 3.02-3.11
Se: 0.1308 0.3959 0.5000 x4  2 In 2.63
Se: 0.1392 0.7568 0.0000 x4  2 In 2.62-2.66

Values from the calculation:
Total magnetization   0.0 μB per formula unit
ΔE_f (raw)   -0.3607 eV per atom

---

Entry 4:
Here is Sr4Bi8Pt3 after structural relaxation from the Alexandria database. Energies are from GGA-PBE.

Cell lengths 4.8064, 4.8064, 19.8458 Å; angles 90.00, 90.00, 90.00 degrees
Last column: nearest neighbours and their distance in Å.
Space group P-4m2 (No. 115)
Unique sites:
Sr: 0.0000 0.5000 0.1155 x2  2 Pt 3.32, 9 Bi 3.52-3.66
Sr: 0.0000 0.5000 0.6189 x2  4 Pt 3.37, 8 Bi 3.51-3.57
Bi: 0.0000 0.0000 0.2491 x2  4 Bi 3.40, 4 Sr 3.56-3.58
Bi: 0.0000 0.5000 0.4246 x2  4 Pt 2.83
Bi: 0.0000 0.5000 0.9308 x2  2 Pt 2.77
Bi: 0.5000 0.5000 0.2482 x2  4 Bi 3.40, 4 Sr 3.57
Pt: 0.0000 0.0000 0.0000 x1  4 Bi 2.77
Pt: 0.0000 0.0000 0.5000 x1  4 Bi 2.83
Pt: 0.5000 0.5000 0.5000 x1  4 Bi 2.83

Values from the calculation:
Total magnetization   0.0 μB per formula unit
E_form   -0.54 eV per atom

---

Entry 5:
Here is HgIrAu2 after structural relaxation from the Alexandria database. Energies are from GGA-PBE.

Cell lengths 3.0884, 4.7520, 4.8567 Å; angles 90.00, 90.00, 90.00 degrees
Last column: nearest neighbours and their distance in Å.
Space group Pmmm (No. 47)
Unique sites:
Hg: 0.0000 0.0000 0.0000 x1  4 Ir 2.83, 4 Au 2.88, 2 Hg 3.09
Ir: 0.5000 0.5000 0.0000 x1  4 Hg 2.83, 4 Au 2.88, 2 Ir 3.09
Au: 0.0000 0.5000 0.5000 x1  6 Au 2.83-3.09, 4 Ir 2.88
Au: 0.5000 0.0000 0.5000 x1  6 Au 2.83-3.09, 4 Hg 2.88

Values from the calculation:
Total magnetization   0.0 μB per formula unit
E_form   0.35 eV per atom

---

Entry 6:
Here is GdZnGaHg after structural relaxation from the Alexandria database. Energies are from GGA-PBE.

Cell lengths 6.9966, 6.9966, 6.9966 Å; angles 90.00, 90.00, 90.00 degrees
Last column: nearest neighbours and their distance in Å.
Space group F-43m (No. 216)
Unique sites:
Gd: 0.0000 0.0000 0.0000 x4  4 Ga 3.03, 4 Hg 3.03
Zn: 0.0000 0.0000 0.5000 x4  4 Hg 3.03, 4 Ga 3.03
Ga: 0.2500 0.2500 0.7500 x4  4 Zn 3.03, 4 Gd 3.03
Hg: 0.2500 0.2500 0.2500 x4  4 Gd 3.03, 4 Zn 3.03

Values from the calculation:
Total magnetization   7.0 μB per formula unit
E_form   -0.31 eV per atom

---

Entry 7:
Here is YPIr2 after structural relaxation from the Alexandria database. Energies are from GGA-PBE.

Cell lengths 4.0991, 4.0991, 15.2318 Å; angles 90.00, 90.00, 120.00 degrees
Last column: nearest neighbours and their distance in Å.
Space group R3m (No. 160, hexagonal axes)
Unique sites:
Y: 0.0000 0.0000 0.0000 x3  4 P 2.90-3.22, 7 Ir 2.98-3.10
P: 0.0000 0.0000 0.8099 x3  6 Ir 2.40-2.54
Ir: 0.0000 0.0000 0.2033 x3  3 P 2.54, 3 Ir 2.69
Ir: 0.0000 0.0000 0.4521 x3  3 P 2.40

Values from the calculation:
Total magnetization   0.0 μB per formula unit
E_form   -0.58 eV per atom

---

Entry 8:
Here is NaNbCo2 after structural relaxation from the Alexandria database. Energies are from GGA-PBE.

Cell lengths 6.7605, 6.7605, 5.6132 Å; angles 90.00, 90.00, 90.00 degrees
Last column: nearest neighbours and their distance in Å.
Space group I-42d (No. 122)
Unique sites:
Na: 0.0000 0.0000 0.0000 x4  4 Co 2.64, 2 Nb 2.81
Nb: 0.0000 0.0000 0.5000 x4  4 Co 2.35
Co: 0.2188 0.7500 0.6250 x8  2 Nb 2.35

Values from the calculation:
Total magnetization   0.0 μB per formula unit
Offset from the most stable computed form   275 meV/atom
E_form   0.78 eV per atom

---

Entry 9:
Here is SrEu2Sb after structural relaxation from the Alexandria database. Energies are from GGA-PBE.

Cell lengths 5.1368, 5.1368, 5.2512 Å; angles 90.00, 90.00, 90.00 degrees
Last column: nearest neighbours and their distance in Å.
Space group P4/mmm (No. 123)
Unique sites:
Sr: 0.0000 0.0000 0.0000 x1  4 Sb 3.63, 8 Eu 3.67
Eu: 0.0000 0.5000 0.5000 x2  4 Eu 3.63, 4 Sb 3.67, 4 Sr 3.67
Sb: 0.5000 0.5000 0.0000 x1  4 Sr 3.63, 8 Eu 3.67

Values from the calculation:
Total magnetization   14.6 μB per formula unit
Offset from the most stable computed form   0 meV/atom
ΔE_f (raw)   -0.5153 eV per atom

---

Entry 10:
Here is VGa2Cl after structural relaxation from the Alexandria database. Energies are from GGA-PBE.

Cell lengths 6.8732, 6.8732, 6.8732 Å; angles 90.00, 90.00, 90.00 degrees
Last column: nearest neighbours and their distance in Å.
Space group Fm-3m (No. 225)
Unique sites:
V: 0.0000 0.0000 0.0000 x4  8 Ga 2.98
Ga: 0.2500 0.2500 0.2500 x8  4 Cl 2.98, 4 V 2.98
Cl: 0.0000 0.0000 0.5000 x4  8 Ga 2.98

Values from the calculation:
Total magnetization   3.6 μB per formula unit
Offset from the most stable computed form   306 meV/atom
ΔE_f (raw)   0.4967 eV per atom

---

Entry 11:
Here is Dy2ThSc5 after structural relaxation from the Alexandria database. Energies are from GGA-PBE.

Cell lengths 6.8590, 6.8590, 9.1191 Å; angles 90.00, 90.00, 90.00 degrees
Last column: nearest neighbours and their distance in Å.
Space group I4/mmm (No. 139)
Unique sites:
Dy: 0.0000 0.5000 0.0000 x4  10 Sc 3.33-3.43, 2 Th 3.43
Th: 0.0000 0.0000 0.0000 x2  8 Sc 3.33, 4 Dy 3.43
Sc: 0.0000 0.0000 0.5000 x2  8 Sc 3.33, 4 Dy 3.43
Sc: 0.2500 0.2500 0.2500 x8  2 Th 3.33, 4 Dy 3.33, 6 Sc 3.33-3.43

Values from the calculation:
Total magnetization   0.0 μB per formula unit
Offset from the most stable computed form   0 meV/atom
E_form   0.03 eV per atom

---

Entry 12:
Here is KGaC after structural relaxation from the Alexandria database. Energies are from GGA-PBE.

Cell lengths 3.5071, 3.5071, 10.4656 Å; angles 90.00, 90.00, 120.00 degrees
Last column: nearest neighbours and their distance in Å.
Space group P6_3/mmc (No. 194)
Unique sites:
K: 0.0000 0.0000 0.0000 x2  6 C 3.31, 6 Ga 3.31, 6 K 3.51
Ga: 0.3333 0.6667 0.2500 x2  3 C 2.02
C: 0.3333 0.6667 0.7500 x2  3 Ga 2.02

Values from the calculation:
Total magnetization   0.0 μB per formula unit
E_form   0.46 eV per atom

---

Entry 13:
Here is SiRhAu4 after structural relaxation from the Alexandria database. Energies are from GGA-PBE.

Cell lengths 7.6709, 7.6709, 7.6709 Å; angles 90.00, 90.00, 90.00 degrees
Last column: nearest neighbours and their distance in Å.
Space group F-43m (No. 216)
Unique sites:
Si: 0.0000 0.0000 0.0000 x4  12 Au 3.18, 4 Rh 3.32
Rh: 0.2500 0.2500 0.2500 x4  12 Au 3.18, 4 Si 3.32
Au: 0.1249 0.1249 0.6249 x16  6 Au 2.71

Values from the calculation:
Total magnetization   0.0 μB per formula unit
ΔE_f (raw)   0.5123 eV per atom

---

Entry 14:
Here is Na3Np3SnN8 after structural relaxation from the Alexandria database. Energies are from GGA-PBE.

Cell lengths 6.8022, 6.8022, 17.1639 Å; angles 90.00, 90.00, 120.00 degrees
Last column: nearest neighbours and their distance in Å.
Space group R-3m (No. 166, hexagonal axes)
Unique sites:
Na: 0.0000 0.5000 0.0000 x9  6 N 2.68-2.70
Np: 0.0000 0.5000 0.5000 x9  6 N 2.20-2.22
Sn: 0.0000 0.0000 0.5000 x3  6 N 2.27
N: 0.0000 0.0000 0.2267 x6  3 Np 2.22
N: 0.0096 0.5048 0.7724 x18  2 Np 2.20, 1 Sn 2.27

Values from the calculation:
Total magnetization   4.0 μB per formula unit
ΔE_f (raw)   -0.5211 eV per atom

---

Entry 15:
Here is Na3NpRh2O6 after structural relaxation from the Alexandria database. Energies are from GGA-PBE.

Cell lengths 5.4676, 9.5639, 5.8755 Å; angles 90.00, 107.13, 90.00 degrees
Last column: nearest neighbours and their distance in Å.
Space group C2/m (No. 12)
Unique sites:
Na: 0.0000 0.0000 0.0000 x2  6 O 2.38-2.43
Na: 0.0000 0.3241 0.0000 x4  6 O 2.36-2.47
Np: 0.0000 0.5000 0.5000 x2  6 O 2.19-2.23
Rh: 0.0000 0.1662 0.5000 x4  6 O 2.16-2.23
O: 0.2423 0.0000 0.7233 x4  1 Np 2.19, 2 Rh 2.23, 1 Na 2.38
O: 0.2445 0.3329 0.7182 x8  2 Rh 2.16-2.23, 1 Np 2.23, 1 Na 2.36

Values from the calculation:
Total magnetization   4.0 μB per formula unit
ΔE_f (raw)   -1.5639 eV per atom

---

Entry 16:
Here is K2ZnPtO4 after structural relaxation from the Alexandria database. Energies are from GGA-PBE.

Cell lengths 5.9866, 13.7736, 18.8189 Å; angles 90.00, 90.00, 90.00 degrees
Last column: nearest neighbours and their distance in Å.
Space group Fddd (No. 70, origin choice 2)
Unique sites:
K: 0.1250 0.1250 0.3026 x16  2 O 2.55
Zn: 0.1250 0.1250 0.6250 x8  4 O 2.04
Pt: 0.1250 0.1250 0.1250 x8  4 O 1.95
O: 0.1153 0.2797 0.3773 x32  1 Pt 1.95, 1 Zn 2.04

Values from the calculation:
Total magnetization   2.0 μB per formula unit
ΔE_f (raw)   -0.9637 eV per atom

---

Entry 17:
Here is Pu2AlSi after structural relaxation from the Alexandria database. Energies are from GGA-PBE.

Cell lengths 6.9958, 6.9958, 6.9958 Å; angles 90.00, 90.00, 90.00 degrees
Last column: nearest neighbours and their distance in Å.
Space group Fm-3m (No. 225)
Unique sites:
Pu: 0.2500 0.2500 0.2500 x8  4 Si 3.03, 4 Al 3.03
Al: 0.0000 0.0000 0.0000 x4  8 Pu 3.03
Si: 0.0000 0.0000 0.5000 x4  8 Pu 3.03

Values from the calculation:
Total magnetization   10.8 μB per formula unit
ΔE_f (raw)   -0.1601 eV per atom

---

Entry 18:
Here is CrCoTe2 after structural relaxation from the Alexandria database. Energies are from GGA-PBE.

Cell lengths 8.4074, 6.2130, 7.7448 Å; angles 90.00, 115.31, 90.00 degrees
Last column: nearest neighbours and their distance in Å.
Space group P2_1/c (No. 14)
Unique sites:
Cr: 0.0212 0.0227 0.3121 x4  4 Co 2.61-2.88, 5 Te 2.70-2.85
Co: 0.1026 0.6477 0.5528 x4  1 Co 2.41, 4 Te 2.49-2.64, 2 Cr 2.61-2.68
Te: 0.2102 0.2469 0.6406 x4  2 Co 2.49-2.64, 2 Cr 2.71-2.74
Te: 0.2932 0.7478 0.3930 x4  2 Co 2.49-2.51, 1 Cr 2.70

Values from the calculation:
Total magnetization   1.1 μB per formula unit
Offset from the most stable computed form   0 meV/atom
ΔE_f (raw)   -0.1057 eV per atom

---

Entry 19:
Here is La2NdHo5Er after structural relaxation from the Alexandria database. Energies are from GGA-PBE.

Cell lengths 5.6606, 19.7320, 10.7776 Å; angles 90.00, 90.00, 90.00 degrees
Last column: nearest neighbours and their distance in Å.
Space group Cmc2_1 (No. 36)
Unique sites:
La: 0.0000 0.1138 0.0000 x4  7 Ho 3.40-3.70, 1 Er 3.48, 2 Nd 3.80
La: 0.0000 0.1151 0.5854 x4  8 Ho 3.29-3.58
Nd: 0.0000 0.4165 0.7284 x4  5 Ho 3.10-3.26
Ho: 0.0000 0.0161 0.2930 x4  2 Nd 3.20, 2 La 3.40-3.42
Ho: 0.0000 0.2817 0.5799 x4  1 Nd 3.10, 1 La 3.29, 2 Ho 3.42
Ho: 0.0000 0.2982 0.9769 x4  4 Ho 3.42-3.78, 3 La 3.51-3.65, 3 Er 3.54-3.79, 1 Nd 3.55
Ho: 0.0000 0.3862 0.2882 x4  6 Ho 3.53-3.82, 4 La 3.58-3.64, 1 Er 3.65, 1 Nd 3.95
Ho: 0.0000 0.4809 0.0067 x4  2 Nd 3.13-3.26
Er: 0.0000 0.2014 0.2801 x4  2 La 3.48-3.71, 8 Ho 3.54-3.79, 2 Nd 3.71

Values from the calculation:
Total magnetization   0.0 μB per formula unit
E_form   0.14 eV per atom